VASP calculation (PBE with a Hubbard U) on crystalline Na2MnZnF6 at its relaxed geometry.

Structure (CIF):
```
data_Na2MnZnF6
_cell_length_a 5.842
_cell_length_b 5.842
_cell_length_c 4.199
_cell_angle_alpha 90.00
_cell_angle_beta 90.00
_cell_angle_gamma 90.00
_space_group_name_H-M_alt 'P 4 m m'
_space_group_IT_number 99
_space_group_name_Hall 'P 4 -2'
loop_
_atom_site_label
_atom_site_type_symbol
_atom_site_fract_x
_atom_site_fract_y
_atom_site_fract_z
Na1 Na 0.000 0.500 0.000
Mn1 Mn 0.000 0.000 0.635
Zn1 Zn 0.500 0.500 0.639
F1 F 0.000 0.000 0.146
F2 F 0.255 0.255 0.691
F3 F 0.500 0.500 0.160
```

Values from the calculation:
- total energy (eV per atom) = -4.8133